(1)
Compound: Li2PmZnF8
Source: the Alexandria database
Functional: GGA-PBE
Structure: optimized geometry

a b c (Å): 4.1450 5.0292 7.1857
angles (deg): 94.22 90.07 92.78
Fractional coordinates of all 12 atoms:
Li 0.0353 0.4690 0.2950
Li 0.9647 0.5310 0.7050
Pm 0.5000 0.0000 0.0000
Zn 0.5000 0.0000 0.5000
F 0.0619 0.2544 0.0491
F 0.1559 0.2520 0.5113
F 0.3511 0.7579 0.2541
F 0.3623 0.7753 0.7067
F 0.6377 0.2247 0.2933
F 0.6489 0.2421 0.7459
F 0.8441 0.7480 0.4887
F 0.9381 0.7456 0.9509

Properties
Uncorrected formation energy ... -2844 meV/atom
VASP energy ... -4.91 eV per atom
Calculated volume ... 149.2 Å³/cell



(2)
Compound: LiPr2F
Source: the Alexandria database
Functional: GGA-PBE
Structure: optimized geometry

a b c (Å): 3.4454 3.4454 31.0727
angles (deg): 90.00 90.00 120.00
Fractional coordinates of all 12 atoms:
Li 0.0000 0.0000 0.0000
Li 0.3333 0.6667 0.6667
Li 0.6667 0.3333 0.3333
Pr 0.0000 0.0000 0.1063
Pr 0.0000 0.0000 0.8937
Pr 0.3333 0.6667 0.5604
Pr 0.3333 0.6667 0.7729
Pr 0.6667 0.3333 0.2271
Pr 0.6667 0.3333 0.4396
F 0.0000 0.0000 0.5000
F 0.3333 0.6667 0.1667
F 0.6667 0.3333 0.8333

Properties
Uncorrected formation energy ... -882 meV/atom
VASP energy ... -4.22 eV per atom
Calculated volume ... 319.4 Å³/cell



(3)
Compound: LiPrF2
Source: the Alexandria database
Functional: GGA-PBE
Structure: optimized geometry

a b c (Å): 3.5386 3.5386 19.9150
angles (deg): 90.00 90.00 120.00
Fractional coordinates of all 12 atoms:
Li 0.0000 0.0000 0.0000
Li 0.3333 0.6667 0.6667
Li 0.6667 0.3333 0.3333
Pr 0.0000 0.0000 0.5000
Pr 0.3333 0.6667 0.1667
Pr 0.6667 0.3333 0.8333
F 0.0000 0.0000 0.3844
F 0.0000 0.0000 0.6156
F 0.3333 0.6667 0.0511
F 0.3333 0.6667 0.2822
F 0.6667 0.3333 0.7178
F 0.6667 0.3333 0.9489

Properties
Uncorrected formation energy ... -2505 meV/atom
VASP energy ... -5.11 eV per atom
Calculated volume ... 216.0 Å³/cell



(4)
Compound: Li2Pr2F7
Source: the Alexandria database
Functional: GGA-PBE
Structure: optimized geometry

a b c (Å): 5.3311 5.4731 5.7929
angles (deg): 73.12 89.00 83.63
Fractional coordinates of all 11 atoms:
Li 0.2058 0.4827 0.1889
Li 0.7942 0.5173 0.8111
Pr 0.2457 0.0677 0.7359
Pr 0.7543 0.9323 0.2641
F 0.0000 0.5000 0.5000
F 0.0422 0.2434 0.0380
F 0.4138 0.7660 0.1107
F 0.4635 0.2409 0.3715
F 0.5365 0.7591 0.6285
F 0.5862 0.2340 0.8893
F 0.9578 0.7565 0.9620

Properties
Uncorrected formation energy ... -3422 meV/atom
VASP energy ... -5.83 eV per atom
Calculated volume ... 160.7 Å³/cell



(5)
Compound: Li5Pr3F12
Source: the Alexandria database
Functional: GGA-PBE
Structure: optimized geometry

a b c (Å): 10.9904 10.9904 10.9904
angles (deg): 109.47 109.47 109.47
Fractional coordinates of all 80 atoms:
Li 0.0000 0.0000 0.0000
Li 0.0000 0.0000 0.5000
Li 0.0000 0.5000 0.0000
Li 0.0000 0.5000 0.5000
Li 0.1250 0.7500 0.8750
Li 0.1250 0.8750 0.2500
Li 0.2500 0.1250 0.8750
Li 0.2500 0.6250 0.3750
Li 0.3750 0.2500 0.6250
Li 0.3750 0.6250 0.7500
Li 0.5000 0.0000 0.0000
Li 0.5000 0.0000 0.5000
Li 0.5000 0.5000 0.0000
Li 0.5000 0.5000 0.5000
Li 0.6250 0.3750 0.2500
Li 0.6250 0.7500 0.3750
Li 0.7500 0.3750 0.6250
Li 0.7500 0.8750 0.1250
Li 0.8750 0.1250 0.7500
Li 0.8750 0.2500 0.1250
Pr 0.1250 0.2500 0.3750
Pr 0.1250 0.3750 0.7500
Pr 0.2500 0.3750 0.1250
Pr 0.2500 0.8750 0.6250
Pr 0.3750 0.1250 0.2500
Pr 0.3750 0.7500 0.1250
Pr 0.6250 0.2500 0.8750
Pr 0.6250 0.8750 0.7500
Pr 0.7500 0.1250 0.3750
Pr 0.7500 0.6250 0.8750
Pr 0.8750 0.6250 0.2500
Pr 0.8750 0.7500 0.6250
F 0.0207 0.2076 0.1168
F 0.0207 0.3132 0.9039
F 0.0907 0.7076 0.6868
F 0.0907 0.8832 0.4039
F 0.0961 0.6168 0.4093
F 0.0961 0.9793 0.6868
F 0.1168 0.0207 0.2076
F 0.1168 0.5961 0.9093
F 0.1868 0.2076 0.5907
F 0.1868 0.4793 0.5961
F 0.2076 0.1168 0.0207
F 0.2076 0.5907 0.1868
F 0.2924 0.3132 0.9093
F 0.2924 0.4793 0.3832
F 0.3132 0.9039 0.0207
F 0.3132 0.9093 0.2924
F 0.3832 0.2924 0.4793
F 0.3832 0.5907 0.9039
F 0.4039 0.0907 0.8832
F 0.4039 0.8132 0.5207
F 0.4093 0.0961 0.6168
F 0.4093 0.8132 0.7924
F 0.4793 0.3832 0.2924
F 0.4793 0.5961 0.1868
F 0.5207 0.4039 0.8132
F 0.5207 0.6168 0.7076
F 0.5907 0.1868 0.2076
F 0.5907 0.9039 0.3832
F 0.5961 0.1868 0.4793
F 0.5961 0.9093 0.1168
F 0.6168 0.4093 0.0961
F 0.6168 0.7076 0.5207
F 0.6868 0.0907 0.7076
F 0.6868 0.0961 0.9793
F 0.7076 0.5207 0.6168
F 0.7076 0.6868 0.0907
F 0.7924 0.4093 0.8132
F 0.7924 0.8832 0.9793
F 0.8132 0.5207 0.4039
F 0.8132 0.7924 0.4093
F 0.8832 0.4039 0.0907
F 0.8832 0.9793 0.7924
F 0.9039 0.0207 0.3132
F 0.9039 0.3832 0.5907
F 0.9093 0.1168 0.5961
F 0.9093 0.2924 0.3132
F 0.9793 0.6868 0.0961
F 0.9793 0.7924 0.8832

Properties
Uncorrected formation energy ... -3289 meV/atom
VASP energy ... -5.61 eV per atom
Calculated volume ... 1021.9 Å³/cell



(6)
Compound: LiPr2F8
Source: the Alexandria database
Functional: GGA-PBE
Structure: optimized geometry

a b c (Å): 7.1054 7.1054 5.6105
angles (deg): 108.88 108.88 32.76
Fractional coordinates of all 11 atoms:
Li 0.0000 0.0000 0.0000
Pr 0.3365 0.3365 0.3306
Pr 0.6635 0.6635 0.6694
F 0.0931 0.0931 0.8048
F 0.1708 0.1708 0.4069
F 0.2813 0.2813 0.8795
F 0.4812 0.4812 0.7212
F 0.5188 0.5188 0.2788
F 0.7187 0.7187 0.1205
F 0.8292 0.8292 0.5931
F 0.9069 0.9069 0.1952

Properties
Uncorrected formation energy ... -3419 meV/atom
VASP energy ... -5.82 eV per atom
Calculated volume ... 144.3 Å³/cell



(7)
Compound: LiPrSbF
Source: the Alexandria database
Functional: GGA-PBE
Structure: optimized geometry

a b c (Å): 4.1879 4.1879 9.5472
angles (deg): 90.00 90.00 90.00
Fractional coordinates of all 8 atoms:
Li 0.2500 0.7500 0.0000
Li 0.7500 0.2500 0.0000
Pr 0.2500 0.2500 0.3396
Pr 0.7500 0.7500 0.6604
Sb 0.2500 0.2500 0.8077
Sb 0.7500 0.7500 0.1923
F 0.2500 0.7500 0.5000
F 0.7500 0.2500 0.5000

Properties
Uncorrected formation energy ... -1926 meV/atom
VASP energy ... -5.10 eV per atom
Calculated volume ... 167.4 Å³/cell



(8)
Compound: Li2PrScF8
Source: the Alexandria database
Functional: GGA-PBE
Structure: optimized geometry

a b c (Å): 3.9345 5.1695 7.5209
angles (deg): 96.62 90.38 96.12
Fractional coordinates of all 12 atoms:
Li 0.0486 0.4581 0.3040
Li 0.9514 0.5419 0.6960
Pr 0.5000 0.0000 0.0000
Sc 0.5000 0.0000 0.5000
F 0.0498 0.2568 0.0560
F 0.0904 0.2399 0.5159
F 0.3928 0.7586 0.2550
F 0.4137 0.7560 0.7017
F 0.5863 0.2440 0.2983
F 0.6072 0.2414 0.7450
F 0.9096 0.7601 0.4841
F 0.9502 0.7432 0.9440

Properties
Uncorrected formation energy ... -3591 meV/atom
VASP energy ... -6.08 eV per atom
Calculated volume ... 151.1 Å³/cell